Entry from the Alexandria database: a relaxed structure of TlRe2Ir (PBE-GGA).

Summary:
energy above the most stable polymorph in this dataset = 45.0 kJ/mol of atoms

Cell: 3.8429 3.8429 4.4884 Å, 90.00 90.00 90.00°
Closest atoms and distances in Å follow each position.
Fractional positions:
Tl1 0.0000 0.0000 0.0000  4 Ir 2.72, 8 Re 2.95
Re1 0.0000 0.5000 0.5000  4 Re 2.72, 4 Tl 2.95, 4 Ir 2.95
Re2 0.5000 0.0000 0.5000  4 Re 2.72, 4 Tl 2.95, 4 Ir 2.95
Ir1 0.5000 0.5000 0.0000  4 Tl 2.72, 8 Re 2.95